The following is a GGA-PBE calculation of a relaxed Ac4HoIn5 crystal, from the Alexandria database.

## Properties
Calculated volume = 328.60 Å³/cell
Space group = P4/mmm
DOS at the Fermi energy = 0.714 states/eV/atom
Energy relative to the elements = -0.425 eV per atom

```
10
Lattice="-2.203 -3.153 0.976 3.291 -2.190 0.353 1.359 5.285 20.136" Properties=species:S:1:pos:R:3 pbc="T T T"
Ac 0.537 2.087 7.953
Ac 0.254 0.987 3.762
Ac 0.822 3.197 12.183
Ac 1.105 4.297 16.374
Ho 0.000 0.000 0.000
In 0.938 -1.138 6.507
In 1.223 -0.029 10.733
In 1.793 2.188 19.180
In 1.508 1.079 14.958
In 0.653 -2.246 2.285
```


The following is a GGA-PBE calculation of a relaxed Lu2MnCo crystal, from the Alexandria database.

## Properties
Calculated volume = 75.19 Å³/cell
E above lowest polymorph = 0.00 eV per formula unit
Space group = P4/mmm
DOS at the Fermi energy = 0.703 states/eV/atom
Energy relative to the elements = -0.061 eV per atom

```
4
Lattice="-1.439 2.736 1.208 -2.842 -1.668 0.393 1.915 -1.777 6.308" Properties=species:S:1:pos:R:3 pbc="T T T"
Lu 0.447 -0.415 1.474
Lu 1.467 -1.362 4.834
Mn -1.183 -0.355 3.954
Co -2.140 0.534 0.800
```


The following is a GGA-PBE calculation of a relaxed CeHfZrIn crystal, from the Alexandria database.

## Properties
Calculated volume = 96.80 Å³/cell
Space group = F-43m
DOS at the Fermi energy = 1.769 states/eV/atom
Energy relative to the elements = 0.000 eV per atom

```
4
Lattice="-0.122 -4.910 1.560 2.433 -1.391 4.325 -2.718 -1.310 4.178" Properties=species:S:1:pos:R:3 pbc="T T T"
Zr 0.000 0.000 0.000
Ce -0.203 -3.805 5.032
In -0.102 -1.903 2.516
Hf -0.305 -5.708 7.548
```


The following is a GGA-PBE calculation of a relaxed Na2GaSiS4 crystal, from the Alexandria database.

## Properties
Calculated volume = 200.11 Å³/cell
Raw formation energy = -6.19 eV per formula unit
Space group = I-4
DOS at the Fermi energy = 0.487 states/eV/atom

```
8
Lattice="-4.771 0.759 -4.007 -3.920 -2.549 4.186 3.439 5.496 1.865" Properties=species:S:1:pos:R:3 pbc="T T T"
S -4.269 -0.438 2.211
S -4.855 0.849 -1.095
S -3.240 2.753 1.315
S 1.963 3.727 1.437
Na -0.427 2.170 0.922
Na -2.841 3.196 3.992
Si -4.773 1.275 1.012
Ga -3.266 4.850 -0.105
```


The following is a GGA-PBE calculation of a relaxed La7NdCd3 crystal, from the Alexandria database.

## Properties
Calculated volume = 374.60 Å³/cell
Space group = Immm
DOS at the Fermi energy = 1.430 states/eV/atom
Energy relative to the elements = -0.009 eV per atom

```
11
Lattice="-2.222 2.912 4.768 -2.509 -8.100 -0.007 7.965 -2.517 1.463" Properties=species:S:1:pos:R:3 pbc="T T T"
Cd -1.111 1.456 2.384
Cd -0.107 -6.820 0.330
Cd 5.563 -3.797 1.126
La 0.576 -1.372 1.107
La 2.659 -6.334 5.117
La 5.094 -3.650 4.614
La -1.860 -4.055 1.610
La 3.962 -0.951 2.427
La 2.728 -5.309 0.728
La -0.728 -6.754 3.796
Nd 1.617 -3.853 3.112
```


The following is a GGA-PBE calculation of a relaxed Tb4MgZnCd2 crystal, from the Alexandria database.

## Properties
Calculated volume = 206.96 Å³/cell
Space group = R-3m
DOS at the Fermi energy = 1.216 states/eV/atom
Energy relative to the elements = -0.264 eV per atom

```
8
Lattice="5.278 0.000 0.000 2.639 4.571 0.000 2.639 1.524 8.578" Properties=species:S:1:pos:R:3 pbc="T T T"
Tb 7.917 4.571 3.338
Tb 5.278 3.047 7.361
Tb 2.639 1.524 5.240
Tb 5.278 3.047 1.217
Mg 0.000 0.000 0.000
Cd 7.917 4.571 6.585
Cd 2.639 1.524 1.993
Zn 5.278 3.047 4.289
```


The following is a GGA-PBE calculation of a relaxed Mg3Sc2In crystal, from the Alexandria database.

## Properties
Calculated volume = 275.39 Å³/cell
Space group = Fmmm
DOS at the Fermi energy = 0.881 states/eV/atom
Energy relative to the elements = -0.149 eV per atom

```
12
Lattice="-2.195 2.674 4.823 -4.107 -1.785 -3.896 2.667 -8.030 3.523" Properties=species:S:1:pos:R:3 pbc="T T T"
Mg -0.881 -7.446 1.148
Mg 0.074 -5.217 5.506
Mg -0.161 -2.532 1.330
Mg -3.709 -1.925 -1.057
Mg -3.473 -4.610 3.119
Mg -2.753 0.305 3.302
Sc -1.590 0.224 0.234
Sc -1.339 -2.456 4.405
Sc -2.295 -4.686 0.045
Sc -4.712 0.665 0.693
In -0.324 -5.078 2.668
In -3.311 -2.064 1.781
```


The following is a GGA-PBE calculation of a relaxed SrHg6Pd4 crystal, from the Alexandria database.

## Properties
Calculated volume = 263.38 Å³/cell
Space group = I-42m
DOS at the Fermi energy = 0.328 states/eV/atom
Energy relative to the elements = -0.264 eV per atom

```
11
Lattice="-4.391 -2.342 5.220 4.128 -4.643 -3.663 5.903 3.811 1.624" Properties=species:S:1:pos:R:3 pbc="T T T"
Sr 0.000 0.000 0.000
Pd 4.006 -1.769 -1.757
Pd 5.938 -1.396 0.239
Pd 4.599 1.055 0.009
Pd 1.130 -1.896 2.653
Hg 7.457 0.937 -0.494
Hg -0.132 -3.493 0.779
Hg 6.815 -2.120 -2.406
Hg -1.721 -1.585 3.112
Hg 3.122 -1.238 0.931
Hg 0.756 0.734 3.422
```


The following is a GGA-PBE calculation of a relaxed CaLaHo2Tl4 crystal, from the Alexandria database.

## Properties
Calculated volume = 230.55 Å³/cell
Space group = R-3m
DOS at the Fermi energy = 0.652 states/eV/atom
Energy relative to the elements = -0.371 eV per atom

```
8
Lattice="5.438 0.000 0.000 2.719 4.709 0.000 2.719 1.570 9.003" Properties=species:S:1:pos:R:3 pbc="T T T"
Tl 2.719 1.570 5.593
Tl 8.157 4.709 3.410
Tl 5.438 3.140 7.847
Tl 5.438 3.140 1.156
Ca 5.438 3.140 4.502
La 0.000 0.000 0.000
Ho 8.157 4.709 6.684
Ho 2.719 1.570 2.319
```


The following is a GGA-PBE calculation of a relaxed LiTbH3 crystal, from the Alexandria database.

## Properties
Calculated volume = 45.98 Å³/cell
Space group = Pm-3m
DOS at the Fermi energy = 0.397 states/eV/atom
E_tot = -3.72 eV/atom

```
5
Lattice="-0.454 3.106 1.726 -1.864 1.274 -2.781 -3.025 -1.251 1.455" Properties=species:S:1:pos:R:3 pbc="T T T"
Li 0.000 0.000 0.000
H -1.513 -0.625 0.727
H -0.932 0.637 -1.391
H -0.227 1.553 0.863
Tb -2.672 1.564 0.200
```


The following is a GGA-PBE calculation of a relaxed CaAs2Pd6 crystal, from the Alexandria database.

## Properties
Calculated volume = 180.07 Å³/cell
E above lowest polymorph = 0.81 eV per formula unit
Space group = P6/mmm
DOS at the Fermi energy = 0.672 states/eV/atom
Energy relative to the elements = -0.370 eV per atom

```
9
Lattice="-2.170 -3.477 3.960 5.381 -0.680 -1.750 1.998 3.985 4.594" Properties=species:S:1:pos:R:3 pbc="T T T"
Pd 2.031 -1.229 2.084
Pd 3.117 0.509 0.104
Pd 3.178 1.057 4.720
Pd 4.262 2.796 2.740
Pd -0.659 -0.890 2.959
Pd 0.488 1.398 5.595
Ca 0.000 0.000 0.000
As 1.346 -0.552 4.354
As 3.863 0.380 2.450
```


The following is a GGA-PBE calculation of a relaxed Ba2LaI crystal, from the Alexandria database.

## Properties
Calculated volume = 189.74 Å³/cell
E above lowest polymorph = 1.76 eV per formula unit
Raw formation energy = -0.16 eV per formula unit
Space group = Fm-3m
DOS at the Fermi energy = 2.320 states/eV/atom

```
4
Lattice="0.000 4.561 4.561 4.561 0.000 4.561 4.561 4.561 0.000" Properties=species:S:1:pos:R:3 pbc="T T T"
Ba 6.841 6.841 6.841
Ba 2.280 2.280 2.280
I 0.000 0.000 0.000
La 4.561 4.561 4.561
```